DFT (PBE) results for a relaxed structure of SrMnCr2.

Values from the calculation:
energy relative to the lowest polymorph listed for this composition: 470 meV/atom
DFT formation energy: 1.03 eV per atom
calculated total energy: -6.50 eV/atom

abc: 8.753 8.753 8.753
angles: 146.98 146.98 47.40
Element x y z (fractional)
Sr  0.375  0.625  0.750
Sr  0.625  0.375  0.250
Mn  0.125  0.875  0.250
Mn  0.875  0.125  0.750
Cr  0.000  0.000  0.000
Cr  0.000  0.000  0.500
Cr  0.000  0.500  0.000
Cr  0.500  0.000  0.500

DFT (PBE) results for a relaxed structure of Ac2HoSi3Pt12.

Values from the calculation:
calculated total energy: -6.22 eV/atom

abc: 7.895 7.895 7.895
angles: 64.09 64.09 64.09
Element x y z (fractional)
Ac  0.104  0.104  0.104
Ac  0.896  0.896  0.896
Ho  0.500  0.500  0.500
Si  0.000  0.500  0.500
Si  0.500  0.000  0.500
Si  0.500  0.500  0.000
Pt  0.104  0.637  0.637
Pt  0.155  0.155  0.598
Pt  0.155  0.598  0.155
Pt  0.363  0.363  0.896
Pt  0.363  0.896  0.363
Pt  0.402  0.845  0.845
Pt  0.598  0.155  0.155
Pt  0.637  0.104  0.637
Pt  0.637  0.637  0.104
Pt  0.845  0.402  0.845
Pt  0.845  0.845  0.402
Pt  0.896  0.363  0.363

DFT (PBE) results for a relaxed structure of TbSm8Sc5.

Values from the calculation:
DFT formation energy: 0.26 eV per atom
calculated total energy: -5.03 eV/atom

abc: 8.289 8.289 8.289
angles: 111.32 111.32 105.84
Element x y z (fractional)
Tb  0.000  0.000  0.000
Sm  0.095  0.674  0.768
Sm  0.275  0.516  0.104
Sm  0.326  0.094  0.421
Sm  0.412  0.171  0.896
Sm  0.484  0.588  0.759
Sm  0.672  0.905  0.579
Sm  0.829  0.725  0.241
Sm  0.906  0.328  0.232
Sc  0.020  0.213  0.591
Sc  0.250  0.750  0.500
Sc  0.571  0.980  0.193
Sc  0.622  0.429  0.409
Sc  0.787  0.378  0.807

DFT (PBE) results for a relaxed structure of Zr2GaAu3.

Values from the calculation:
energy relative to the lowest polymorph listed for this composition: 13 meV/atom
DFT formation energy: -0.55 eV per atom
calculated total energy: -5.54 eV/atom

abc: 2.996 4.649 8.074
angles: 90.00 90.00 90.00
Element x y z (fractional)
Zr  0.000  0.000  0.000
Zr  0.000  0.500  0.485
Ga  0.500  0.500  0.821
Au  0.500  0.000  0.331
Au  0.500  0.000  0.672
Au  0.500  0.500  0.146

DFT (PBE) results for a relaxed structure of Ta2Ti6Nb.

Values from the calculation:
DFT formation energy: 0.08 eV per atom
calculated total energy: -8.94 eV/atom

abc: 9.584 9.584 9.584
angles: 149.22 134.10 56.29
Element x y z (fractional)
Ta  0.172  0.091  0.263
Ta  0.328  0.591  0.919
Ta  0.672  0.409  0.081
Ta  0.828  0.909  0.737
Ti  0.010  0.749  0.092
Ti  0.084  0.584  0.500
Ti  0.157  0.249  0.739
Ti  0.343  0.082  0.092
Ti  0.416  0.916  0.500
Ti  0.490  0.582  0.739
Ti  0.510  0.418  0.261
Ti  0.584  0.084  0.500
Ti  0.657  0.918  0.908
Ti  0.843  0.751  0.261
Ti  0.916  0.416  0.500
Ti  0.990  0.251  0.908
Nb  0.250  0.750  0.500
Nb  0.750  0.250  0.500

DFT (PBE) results for a relaxed structure of TcIrO2.

Values from the calculation:
energy relative to the lowest polymorph listed for this composition: 830 meV/atom
calculated total energy: -7.20 eV/atom

abc: 5.708 5.708 5.708
angles: 130.90 130.90 71.97
Element x y z (fractional)
Tc  0.000  0.000  0.000
Tc  0.750  0.250  0.500
Ir  0.250  0.750  0.500
Ir  0.500  0.500  0.000
O  0.100  0.625  0.975
O  0.375  0.350  0.475
O  0.650  0.125  0.025
O  0.875  0.900  0.525